[1]
K3Ag2HgCl9 after structural relaxation, computed with PBE.

Output
Space group: P-3m1, No. 164
Total moment, μB/f.u.: 0.0
DFT total energy, eV/atom: -2.769

abc: 7.332 7.332 9.002
angles: 90.00 90.00 120.00
Positions (direct):
K: 0.000 0.000 0.000
K: 0.333 0.667 0.674
K: 0.667 0.333 0.326
Ag: 0.333 0.667 0.161
Ag: 0.667 0.333 0.839
Hg: 0.000 0.000 0.500
Cl: 0.000 0.500 0.000
Cl: 0.168 0.336 0.328
Cl: 0.168 0.832 0.328
Cl: 0.336 0.168 0.672
Cl: 0.500 0.000 0.000
Cl: 0.500 0.500 0.000
Cl: 0.664 0.832 0.328
Cl: 0.832 0.168 0.672
Cl: 0.832 0.664 0.672


[2]
Ho2RuS after structural relaxation, computed with PBE.

Output
Space group: P4/mmm, No. 123
Total moment, μB/f.u.: 0.0
DFT total energy, eV/atom: -6.677

abc: 3.380 3.380 7.026
angles: 90.00 90.00 90.00
Positions (direct):
Ho: 0.000 0.000 0.241
Ho: 0.000 0.000 0.759
Ru: 0.500 0.500 0.000
S: 0.500 0.500 0.500


no.,formation energy (no corrections) (meV per atom)
1,-1041
2,-1037